1.
The following is a DFT calculation (PBEsol) of crystalline BaAg2Te2 at its relaxed geometry.

a = 10.7613 Å, b = 4.5832 Å, c = 11.6775 Å
α = 90.00°, β = 90.00°, γ = 90.00°
Fractional coordinates of all 20 atoms:
Ba 0.2409 0.2500 0.1915
Ba 0.2591 0.7500 0.6915
Ba 0.7409 0.2500 0.3085
Ba 0.7591 0.7500 0.8085
Ag 0.0606 0.7500 0.4091
Ag 0.0625 0.7500 0.9550
Ag 0.4375 0.2500 0.4550
Ag 0.4394 0.2500 0.9091
Ag 0.5606 0.7500 0.0909
Ag 0.5625 0.7500 0.5450
Ag 0.9375 0.2500 0.0450
Ag 0.9394 0.2500 0.5909
Te 0.0290 0.2500 0.8143
Te 0.1797 0.2500 0.4807
Te 0.3203 0.7500 0.9807
Te 0.4710 0.7500 0.3143
Te 0.5290 0.2500 0.6857
Te 0.6797 0.2500 0.0193
Te 0.8203 0.7500 0.5193
Te 0.9710 0.7500 0.1857

Values from the calculation:
SG: Pnma, No. 62
Raw total energy, eV/atom: -3.9299
Spin magnetization, μB per atom: 0.000

=====

2.
The following is a DFT calculation (PBEsol) of crystalline Ba2AgTe at its relaxed geometry.

a = 5.7178 Å, b = 5.7178 Å, c = 4.2121 Å
α = 90.00°, β = 90.00°, γ = 90.00°
Fractional coordinates of all 4 atoms:
Ba 0.0000 0.5000 0.0000
Ba 0.5000 0.0000 0.0000
Ag 0.0000 0.0000 0.5000
Te 0.5000 0.5000 0.5000

Values from the calculation:
SG: P4/mmm, No. 123
Raw total energy, eV/atom: -3.6519
Spin magnetization, μB per atom: 0.000

=====

3.
The following is a DFT calculation (PBEsol) of crystalline Ba2AgTe at its relaxed geometry.

a = 6.6522 Å, b = 6.6522 Å, c = 5.2062 Å
α = 90.03°, β = 90.03°, γ = 39.74°
Fractional coordinates of all 4 atoms:
Ba 0.0000 0.0000 0.0000
Ba 0.7411 0.7411 0.5010
Ag 0.2709 0.2709 0.0013
Te 0.4628 0.4628 0.4998

Values from the calculation:
SG: Cm, No. 8
Raw total energy, eV/atom: -3.6297
Spin magnetization, μB per atom: 0.000

=====

4.
The following is a DFT calculation (PBEsol) of crystalline BaAg3Te at its relaxed geometry.

a = 5.3624 Å, b = 5.3624 Å, c = 5.3624 Å
α = 90.00°, β = 90.00°, γ = 90.00°
Fractional coordinates of all 5 atoms:
Ba 0.0000 0.0000 0.0000
Ag 0.0000 0.5000 0.5000
Ag 0.5000 0.0000 0.5000
Ag 0.5000 0.5000 0.0000
Te 0.5000 0.5000 0.5000

Values from the calculation:
SG: Pm-3m, No. 221
Raw total energy, eV/atom: -2.9727
Spin magnetization, μB per atom: 0.000

=====

5.
The following is a DFT calculation (PBEsol) of crystalline BaAg2Te2 at its relaxed geometry.

a = 7.9654 Å, b = 7.9654 Å, c = 7.9654 Å
α = 148.23°, β = 148.23°, γ = 45.55°
Fractional coordinates of all 5 atoms:
Ba 0.0000 0.0000 0.0000
Ag 0.2500 0.7500 0.5000
Ag 0.7500 0.2500 0.5000
Te 0.3754 0.3754 0.0000
Te 0.6246 0.6246 0.0000

Values from the calculation:
SG: I4/mmm, No. 139
Raw total energy, eV/atom: -3.8942
Spin magnetization, μB per atom: 0.000

=====

6.
The following is a DFT calculation (PBEsol) of crystalline BaYAgTe3 at its relaxed geometry.

a = 7.7443 Å, b = 7.7443 Å, c = 11.2874 Å
α = 90.00°, β = 90.00°, γ = 146.59°
Fractional coordinates of all 12 atoms:
Ba 0.2439 0.7561 0.7500
Ba 0.7561 0.2439 0.2500
Y 0.0000 0.0000 0.0000
Y 0.0000 0.0000 0.5000
Ag 0.4681 0.5319 0.2500
Ag 0.5319 0.4681 0.7500
Te 0.0798 0.9202 0.2500
Te 0.3600 0.6400 0.0502
Te 0.3600 0.6400 0.4498
Te 0.6400 0.3600 0.5502
Te 0.6400 0.3600 0.9498
Te 0.9202 0.0798 0.7500

Values from the calculation:
SG: Cmcm, No. 63
Raw total energy, eV/atom: -5.0714
Spin magnetization, μB per atom: 0.000

=====

7.
The following is a DFT calculation (PBEsol) of crystalline BaTi3Ag at its relaxed geometry.

a = 4.8901 Å, b = 4.8901 Å, c = 4.8901 Å
α = 90.00°, β = 90.00°, γ = 90.00°
Fractional coordinates of all 5 atoms:
Ba 0.0000 0.0000 0.0000
Ti 0.0000 0.0000 0.5000
Ti 0.0000 0.5000 0.0000
Ti 0.5000 0.0000 0.0000
Ag 0.5000 0.5000 0.5000

Values from the calculation:
SG: Pm-3m, No. 221
Formation enthalpy at 0 K, eV per atom: 1.81
Raw total energy, eV/atom: -4.2727
Spin magnetization, μB per atom: 0.427

=====

8.
The following is a DFT calculation (PBEsol) of crystalline BaTi2Ag at its relaxed geometry.

a = 4.8288 Å, b = 4.8288 Å, c = 4.8288 Å
α = 60.00°, β = 60.00°, γ = 60.00°
Fractional coordinates of all 4 atoms:
Ba 0.0000 0.0000 0.0000
Ti 0.2500 0.2500 0.2500
Ti 0.7500 0.7500 0.7500
Ag 0.5000 0.5000 0.5000

Values from the calculation:
SG: Fm-3m, No. 225
Formation enthalpy at 0 K, eV per atom: 0.70
Raw total energy, eV/atom: -4.8260
Spin magnetization, μB per atom: 0.001